# Sr3In11

Sr3In11 after structural relaxation (PBEsol, Alexandria via LeMat-Bulk).

Geometry as POSCAR:
```
Sr3In11
1.0
4.813 0.000 0.000
2.407 9.029 -0.067
2.407 2.021 8.800
In Sr
11 3
Cartesian
7.220 10.198 6.245 In
2.407 5.462 1.100 In
2.407 0.852 2.488 In
2.407 5.525 4.367 In
7.220 8.718 3.673 In
4.813 6.894 2.634 In
7.220 5.588 7.633 In
7.220 8.432 8.480 In
2.407 2.618 0.254 In
2.407 2.332 5.060 In
4.813 4.156 6.099 In
4.813 7.613 6.017 Sr
4.813 3.437 2.716 Sr
0.000 0.000 0.000 Sr
```

The space group is Immm, No. 71. The value obtained for the total magnetic moment is 0.0 μB/f.u. The value obtained for the formation energy is -0.34 eV per atom.